1.
This record from Alexandria via LeMat-Bulk describes Mg5FeO6 after structural relaxation. The functional is PBE with a Hubbard U.

Cell lengths 5.244, 5.244, 5.250 Å; angles 99.85, 99.85, 119.94 degrees
Element x y z (fractional)
Mg  0.000  0.000  0.000
Mg  0.165  0.835  0.500
Mg  0.335  0.665  0.000
Mg  0.665  0.335  0.000
Mg  0.835  0.165  0.500
Fe  0.500  0.500  0.500
O  0.078  0.418  0.249
O  0.243  0.243  0.757
O  0.418  0.078  0.249
O  0.582  0.922  0.751
O  0.757  0.757  0.243
O  0.922  0.582  0.751

Results
- Size of the total moment: 4.000 μB/cell
- DOS at the Fermi energy: 0.00 states/eV per cell
- E_tot: -6.10 eV/atom
- Mass density: 3.861 Mg/m³

2.
This record from Alexandria via LeMat-Bulk describes MgFeO2 after structural relaxation. The functional is PBE with a Hubbard U.

Cell lengths 5.352, 5.352, 5.352 Å; angles 133.58, 131.60, 69.32 degrees
Element x y z (fractional)
Mg  0.378  0.128  0.250
Mg  0.622  0.872  0.750
Fe  0.127  0.377  0.750
Fe  0.873  0.623  0.250
O  0.133  0.883  0.250
O  0.383  0.633  0.750
O  0.617  0.367  0.250
O  0.867  0.117  0.750

Results
- Size of the total moment: 7.948 μB/cell
- DOS at the Fermi energy: 0.00 states/eV per cell
- E_tot: -6.31 eV/atom
- Mass density: 4.570 Mg/m³

3.
This record from Alexandria via LeMat-Bulk describes Mg3Fe5O12 after structural relaxation. The functional is PBE with a Hubbard U.

Cell lengths 10.468, 10.468, 10.468 Å; angles 109.47, 109.47, 109.47 degrees
Element x y z (fractional)
Mg  0.125  0.250  0.375
Mg  0.125  0.375  0.750
Mg  0.250  0.375  0.125
Mg  0.250  0.875  0.625
Mg  0.375  0.125  0.250
Mg  0.375  0.750  0.125
Mg  0.625  0.250  0.875
Mg  0.625  0.875  0.750
Mg  0.750  0.125  0.375
Mg  0.750  0.625  0.875
Mg  0.875  0.625  0.250
Mg  0.875  0.750  0.625
Fe  0.000  0.000  0.000
Fe  0.000  0.000  0.500
Fe  0.000  0.500  0.000
Fe  0.000  0.500  0.500
Fe  0.125  0.750  0.875
Fe  0.125  0.875  0.250
Fe  0.250  0.125  0.875
Fe  0.250  0.625  0.375
Fe  0.375  0.250  0.625
Fe  0.375  0.625  0.750
Fe  0.500  0.000  0.000
Fe  0.500  0.000  0.500
Fe  0.500  0.500  0.000
Fe  0.500  0.500  0.500
Fe  0.625  0.375  0.250
Fe  0.625  0.750  0.375
Fe  0.750  0.375  0.625
Fe  0.750  0.875  0.125
Fe  0.875  0.125  0.750
Fe  0.875  0.250  0.125
O  0.030  0.201  0.128
O  0.030  0.328  0.902
O  0.073  0.701  0.672
O  0.073  0.872  0.402
O  0.098  0.628  0.427
O  0.098  0.970  0.672
O  0.128  0.030  0.201
O  0.128  0.598  0.927
O  0.172  0.201  0.573
O  0.172  0.470  0.598
O  0.201  0.128  0.030
O  0.201  0.573  0.172
O  0.299  0.328  0.927
O  0.299  0.470  0.372
O  0.328  0.902  0.030
O  0.328  0.927  0.299
O  0.372  0.299  0.470
O  0.372  0.573  0.902
O  0.402  0.073  0.872
O  0.402  0.828  0.530
O  0.427  0.098  0.628
O  0.427  0.828  0.799
O  0.470  0.372  0.299
O  0.470  0.598  0.172
O  0.530  0.402  0.828
O  0.530  0.628  0.701
O  0.573  0.172  0.201
O  0.573  0.902  0.372
O  0.598  0.172  0.470
O  0.598  0.927  0.128
O  0.628  0.427  0.098
O  0.628  0.701  0.530
O  0.672  0.073  0.701
O  0.672  0.098  0.970
O  0.701  0.530  0.628
O  0.701  0.672  0.073
O  0.799  0.427  0.828
O  0.799  0.872  0.970
O  0.828  0.530  0.402
O  0.828  0.799  0.427
O  0.872  0.402  0.073
O  0.872  0.970  0.799
O  0.902  0.030  0.328
O  0.902  0.372  0.573
O  0.927  0.128  0.598
O  0.927  0.299  0.328
O  0.970  0.672  0.098
O  0.970  0.799  0.872

Results
- Size of the total moment: 71.999 μB/cell
- DOS at the Fermi energy: 28.33 states/eV per cell
- E_tot: -6.10 eV/atom
- Mass density: 4.094 Mg/m³